Entry from Alexandria via LeMat-Bulk: crystalline PmSm2Ho2Tm at its relaxed geometry (PBE-GGA).

Structure (CIF):
```
data_PmSm2Ho2Tm
_chemical_formula_sum 'Pm2 Sm4 Ho4 Tm2'
_symmetry_space_group_name_H-M 'P 1'
_symmetry_Int_Tables_number 1
_cell_length_a 7.0030
_cell_length_b 9.7849
_cell_length_c 5.6229
_cell_angle_alpha 90.00
_cell_angle_beta 90.00
_cell_angle_gamma 90.00
loop_
_symmetry_equiv_pos_as_xyz
'x,y,z'
loop_
_atom_site_label
_atom_site_fract_x
_atom_site_fract_y
_atom_site_fract_z
Pm1 0.0000 0.0000 0.0000
Pm2 0.5000 0.5000 0.5000
Sm1 0.2480 0.3334 0.0000
Sm2 0.2520 0.8334 0.5000
Sm3 0.7480 0.1666 0.5000
Sm4 0.7520 0.6666 0.0000
Ho1 0.2505 0.1668 0.5000
Ho2 0.2495 0.6668 0.0000
Ho3 0.7505 0.3332 0.0000
Ho4 0.7495 0.8332 0.5000
Tm1 0.0000 0.5000 0.5000
Tm2 0.5000 0.0000 0.0000
```

- ΔH_f (0 K) (meV per atom) = 66
- E (eV for the cell shown) = -54.8

***

Entry from Alexandria via LeMat-Bulk: crystalline Pm4Sm2HoTm2 at its relaxed geometry (PBE-GGA).

Structure (CIF):
```
data_Pm4Sm2HoTm2
_chemical_formula_sum 'Pm4 Sm2 Ho1 Tm2'
_symmetry_space_group_name_H-M 'P 1'
_symmetry_Int_Tables_number 1
_cell_length_a 8.0549
_cell_length_b 8.0549
_cell_length_c 8.0176
_cell_angle_alpha 107.57
_cell_angle_beta 107.57
_cell_angle_gamma 36.84
loop_
_symmetry_equiv_pos_as_xyz
'x,y,z'
loop_
_atom_site_label
_atom_site_fract_x
_atom_site_fract_y
_atom_site_fract_z
Pm1 0.0549 0.0549 0.3304
Pm2 0.2781 0.2781 0.6695
Pm3 0.7219 0.7219 0.3305
Pm4 0.9451 0.9451 0.6696
Sm1 0.3884 0.3884 0.3306
Sm2 0.6116 0.6116 0.6694
Ho1 0.5000 0.5000 0.0000
Tm1 0.1671 0.1671 0.9999
Tm2 0.8329 0.8329 0.0001
```

- ΔH_f (0 K) (meV per atom) = 22
- E (eV for the cell shown) = -41.8

***

Entry from Alexandria via LeMat-Bulk: crystalline Pm2SmHo5Tm at its relaxed geometry (PBE-GGA).

Structure (CIF):
```
data_Pm2SmHo5Tm
_chemical_formula_sum 'Pm4 Sm2 Ho10 Tm2'
_symmetry_space_group_name_H-M 'P 1'
_symmetry_Int_Tables_number 1
_cell_length_a 9.8578
_cell_length_b 9.8578
_cell_length_c 9.8578
_cell_angle_alpha 127.78
_cell_angle_beta 127.78
_cell_angle_gamma 76.98
loop_
_symmetry_equiv_pos_as_xyz
'x,y,z'
loop_
_atom_site_label
_atom_site_fract_x
_atom_site_fract_y
_atom_site_fract_z
Pm1 0.1166 0.6166 0.7332
Pm2 0.3834 0.1166 0.5000
Pm3 0.6166 0.8834 0.5000
Pm4 0.8834 0.3834 0.2668
Sm1 0.2500 0.2500 0.0000
Sm2 0.7500 0.7500 0.0000
Ho1 0.0000 0.0000 0.0000
Ho2 0.0724 0.1508 0.5000
Ho3 0.1508 0.6508 0.0785
Ho4 0.3492 0.4276 0.5000
Ho5 0.4276 0.9276 0.0785
Ho6 0.5000 0.5000 0.0000
Ho7 0.5724 0.0724 0.9215
Ho8 0.6508 0.5724 0.5000
Ho9 0.8492 0.3492 0.9215
Ho10 0.9276 0.8492 0.5000
Tm1 0.2500 0.7500 0.5000
Tm2 0.7500 0.2500 0.5000
```

- ΔH_f (0 K) (meV per atom) = 276
- E (eV for the cell shown) = -78.2